[1]
VASP calculation (PBE) on a geometry-optimized Ta2Cu structure.

abc: 4.206 4.206 3.075
angles: 90.00 90.00 90.00
Positions (direct):
Ta 0.000 0.500 0.000
Ta 0.500 0.000 0.000
Cu 0.000 0.000 0.500

**Electronic total energy**: -8.6009 eV per atom
**M_tot**: 0.000 μB per atom
**DOS at the Fermi energy**: 2.406 states/eV per cell
**ΔE_f**: 0.67 eV per atom


[2]
VASP calculation (PBE) on a geometry-optimized TaCu structure.

abc: 6.828 6.828 6.828
angles: 90.00 90.00 90.00
Positions (direct):
Ta 0.000 0.250 0.500
Ta 0.000 0.750 0.500
Ta 0.250 0.500 0.000
Ta 0.500 0.000 0.250
Ta 0.500 0.000 0.750
Ta 0.750 0.500 0.000
Cu 0.000 0.500 0.250
Cu 0.000 0.500 0.750
Cu 0.250 0.000 0.500
Cu 0.500 0.250 0.000
Cu 0.500 0.750 0.000
Cu 0.750 0.000 0.500

**Electronic total energy**: -6.1146 eV per atom
**M_tot**: 0.000 μB per atom
**DOS at the Fermi energy**: 9.922 states/eV per cell
**ΔE_f**: 1.86 eV per atom


[3]
VASP calculation (PBE) on a geometry-optimized Ta5Cu structure.

abc: 5.031 5.031 4.866
angles: 90.00 90.00 120.00
Positions (direct):
Ta 0.000 0.666 0.000
Ta 0.333 0.667 0.500
Ta 0.334 0.334 0.000
Ta 0.666 0.000 0.000
Ta 0.667 0.333 0.500
Cu 0.000 0.000 0.500

**Electronic total energy**: -10.2979 eV per atom
**M_tot**: 0.000 μB per atom
**DOS at the Fermi energy**: 7.517 states/eV per cell
**ΔE_f**: 0.26 eV per atom


[4]
VASP calculation (PBE) on a geometry-optimized TaCu structure.

abc: 3.945 3.945 3.945
angles: 60.00 60.00 60.00
Positions (direct):
Ta 0.000 0.000 0.000
Cu 0.250 0.250 0.250

**Electronic total energy**: -6.2288 eV per atom
**M_tot**: 0.000 μB per atom
**DOS at the Fermi energy**: 3.539 states/eV per cell
**ΔE_f**: 1.75 eV per atom


[5]
VASP calculation (PBE) on a geometry-optimized Ta2Cu structure.

abc: 2.833 2.833 7.214
angles: 90.00 90.00 120.00
Positions (direct):
Ta 0.333 0.667 0.318
Ta 0.667 0.333 0.682
Cu 0.000 0.000 0.000

**Electronic total energy**: -9.0065 eV per atom
**M_tot**: 0.000 μB per atom
**DOS at the Fermi energy**: 3.178 states/eV per cell
**ΔE_f**: 0.26 eV per atom


[6]
VASP calculation (PBE) on a geometry-optimized TaCu structure.

abc: 6.483 6.483 6.483
angles: 153.17 58.22 129.37
Positions (direct):
Ta 0.000 0.000 0.000
Ta 0.088 0.760 0.328
Ta 0.433 0.760 0.672
Cu 0.498 0.498 0.000
Cu 0.592 0.229 0.364
Cu 0.865 0.229 0.636

**Electronic total energy**: -7.7037 eV per atom
**M_tot**: 0.000 μB per atom
**DOS at the Fermi energy**: 3.964 states/eV per cell
**ΔE_f**: 0.27 eV per atom


[7]
VASP calculation (PBE) on a geometry-optimized TaCu structure.

abc: 4.030 4.030 4.694
angles: 90.00 90.00 120.00
Positions (direct):
Ta 0.333 0.667 0.250
Ta 0.667 0.333 0.750
Cu 0.000 0.000 0.000
Cu 0.000 0.000 0.500

**Electronic total energy**: -7.3758 eV per atom
**M_tot**: 0.000 μB per atom
**DOS at the Fermi energy**: 1.767 states/eV per cell
**ΔE_f**: 0.60 eV per atom


[8]
VASP calculation (PBE) on a geometry-optimized TaCu structure.

abc: 2.786 2.786 9.330
angles: 90.00 90.00 120.00
Positions (direct):
Ta 0.000 0.000 0.000
Ta 0.000 0.000 0.500
Cu 0.333 0.667 0.250
Cu 0.667 0.333 0.750

**Electronic total energy**: -7.7031 eV per atom
**M_tot**: 0.000 μB per atom
**DOS at the Fermi energy**: 3.663 states/eV per cell
**ΔE_f**: 0.27 eV per atom


[9]
VASP calculation (PBE) on a geometry-optimized TaCu structure.

abc: 6.276 5.958 5.127
angles: 68.50 62.03 49.47
Positions (direct):
Ta 0.058 0.692 0.058
Ta 0.308 0.942 0.308
Ta 0.692 0.058 0.692
Ta 0.942 0.308 0.942
Cu 0.205 0.545 0.545
Cu 0.455 0.795 0.795
Cu 0.545 0.205 0.205
Cu 0.795 0.455 0.455

**Electronic total energy**: -7.5187 eV per atom
**M_tot**: 0.000 μB per atom
**DOS at the Fermi energy**: 8.118 states/eV per cell
**ΔE_f**: 0.46 eV per atom


[10]
VASP calculation (PBE) on a geometry-optimized TaCu structure.

abc: 10.279 4.409 5.346
angles: 90.00 90.00 90.00
Positions (direct):
Ta 0.050 0.250 0.135
Ta 0.167 0.750 0.393
Ta 0.333 0.250 0.893
Ta 0.450 0.750 0.635
Ta 0.550 0.250 0.365
Ta 0.667 0.750 0.107
Ta 0.833 0.250 0.607
Ta 0.950 0.750 0.865
Cu 0.098 0.250 0.651
Cu 0.199 0.750 0.888
Cu 0.301 0.250 0.388
Cu 0.402 0.750 0.151
Cu 0.598 0.250 0.849
Cu 0.699 0.750 0.612
Cu 0.801 0.250 0.112
Cu 0.902 0.750 0.349

**Electronic total energy**: -7.8333 eV per atom
**M_tot**: 0.000 μB per atom
**DOS at the Fermi energy**: 10.947 states/eV per cell
**ΔE_f**: 0.14 eV per atom


[11]
VASP calculation (PBE) on a geometry-optimized Ta2Cu structure.

abc: 12.688 12.688 12.688
angles: 161.98 161.98 25.60
Positions (direct):
Ta 0.039 0.789 0.250
Ta 0.122 0.372 0.750
Ta 0.211 0.961 0.250
Ta 0.372 0.122 0.250
Ta 0.628 0.878 0.750
Ta 0.789 0.039 0.750
Ta 0.878 0.628 0.250
Ta 0.961 0.211 0.750
Cu 0.288 0.538 0.750
Cu 0.462 0.712 0.750
Cu 0.538 0.288 0.250
Cu 0.712 0.462 0.250

**Electronic total energy**: -9.1064 eV per atom
**M_tot**: 0.000 μB per atom
**DOS at the Fermi energy**: 10.943 states/eV per cell
**ΔE_f**: 0.16 eV per atom


[12]
VASP calculation (PBE) on a geometry-optimized TaCu structure.

abc: 6.852 6.852 6.852
angles: 109.47 109.47 109.47
Positions (direct):
Ta 0.000 0.000 0.243
Ta 0.000 0.243 0.000
Ta 0.243 0.000 0.000
Ta 0.757 0.757 0.757
Cu 0.000 0.000 0.618
Cu 0.000 0.618 0.000
Cu 0.382 0.382 0.382
Cu 0.618 0.000 0.000

**Electronic total energy**: -6.3849 eV per atom
**M_tot**: 0.149 μB per atom
**DOS at the Fermi energy**: 12.129 states/eV per cell
**ΔE_f**: 1.59 eV per atom